(1)
Density functional theory data (PBE) for Tm3CuNi2 after structural relaxation.

Values from the calculation:
- Crystal system: orthorhombic
- DOS(E_F): 15.539 states/eV per cell
- Energy relative to the elements: -0.373 eV/atom
- Energy: -5.219 eV/atom
- Density: 9.5 Mg/m³

a = 11.3026 Å, b = 3.8643 Å, c = 11.0533 Å
α = 90.00°, β = 90.00°, γ = 90.00°
Space group Pnma (No. 62)
One atom of each set of equivalent atoms:
Tm 0.0516 0.2500 0.1267 x4
Tm 0.1234 0.7500 0.5718 x4
Tm 0.2050 0.2500 0.8220 x4
Cu 0.1248 0.2500 0.3797 x4
Ni 0.0104 0.7500 0.3075 x4
Ni 0.1880 0.7500 0.0030 x4

(2)
Density functional theory data (PBE) for Tm2CuNi after structural relaxation.

Values from the calculation:
- Crystal system: trigonal
- DOS(E_F): 4.215 states/eV per cell
- Energy relative to the elements: -0.188 eV/atom
- Energy: -4.893 eV/atom
- Density: 8.9 Mg/m³

a = 3.8866 Å, b = 3.8866 Å, c = 19.7498 Å
α = 90.00°, β = 90.00°, γ = 120.00°
Space group R-3m (No. 166, hexagonal axes)
One atom of each set of equivalent atoms:
Tm 0.0000 0.0000 0.2440 x6
Cu 0.0000 0.0000 0.0000 x3
Ni 0.0000 0.0000 0.5000 x3

(3)
Density functional theory data (PBE) for Tm3CuNi3 after structural relaxation.

Values from the calculation:
- Crystal system: hexagonal
- DOS(E_F): 6.110 states/eV per cell
- Energy relative to the elements: -0.321 eV/atom
- Energy: -5.300 eV/atom
- Polymorph energy (0 for the lowest one): 0.97 eV per formula unit
- Density: 9.5 Mg/m³

a = 8.4193 Å, b = 8.4193 Å, c = 4.2612 Å
α = 90.00°, β = 90.00°, γ = 120.00°
Space group P6_3/m (No. 176)
One atom of each set of equivalent atoms:
Tm 0.0865 0.4043 0.2500 x6
Cu 0.3333 0.6667 0.7500 x2
Ni 0.0357 0.1837 0.7500 x6

(4)
Density functional theory data (PBE) for TmCu4Ni2 after structural relaxation.

Values from the calculation:
- Crystal system: tetragonal
- DOS(E_F): 10.858 states/eV per cell
- Energy relative to the elements: 0.427 eV/atom
- Energy: -4.204 eV/atom
- Polymorph energy (0 for the lowest one): 4.29 eV per formula unit
- Density: 7.2 Mg/m³

a = 7.1274 Å, b = 7.1274 Å, c = 4.8976 Å
α = 90.00°, β = 90.00°, γ = 90.00°
Space group I4/mmm (No. 139)
One atom of each set of equivalent atoms:
Tm 0.0000 0.0000 0.0000 x2
Cu 0.0000 0.2277 0.5000 x8
Ni 0.0000 0.5000 0.2500 x4

(5)
Density functional theory data (PBE) for YTmCuNi after structural relaxation.

Values from the calculation:
- Crystal system: orthorhombic
- DOS(E_F): 4.961 states/eV per cell
- Energy relative to the elements: -0.374 eV/atom
- Energy: -5.577 eV/atom
- Polymorph energy (0 for the lowest one): 0.00 eV per formula unit
- Density: 7.7 Mg/m³

a = 4.3722 Å, b = 3.6815 Å, c = 10.1681 Å
α = 90.00°, β = 90.00°, γ = 90.00°
Space group Amm2 (No. 38)
One atom of each set of equivalent atoms:
Y 0.0000 0.0000 0.0000 x2
Tm 0.5000 0.0000 0.2789 x2
Cu 0.5000 0.0000 0.5694 x2
Ni 0.0000 0.0000 0.7144 x2

(6)
Density functional theory data (PBE) for YTmCuNi after structural relaxation.

Values from the calculation:
- Crystal system: cubic
- DOS(E_F): 11.922 states/eV per cell
- Energy relative to the elements: -0.337 eV/atom
- Energy: -5.540 eV/atom
- Polymorph energy (0 for the lowest one): 0.15 eV per formula unit
- Density: 8.0 Mg/m³

a = 6.8050 Å, b = 6.8050 Å, c = 6.8050 Å
α = 90.00°, β = 90.00°, γ = 90.00°
Space group F-43m (No. 216)
One atom of each set of equivalent atoms:
Y 0.0000 0.0000 0.0000 x4
Tm 0.0000 0.0000 0.5000 x4
Cu 0.2500 0.2500 0.7500 x4
Ni 0.2500 0.2500 0.2500 x4